Computed, not measured: an optimized crystal structure of RbAc2RhO5 at the PBE level of DFT.

Cell lengths 7.272, 7.272, 5.977 Å; angles 90.00, 90.00, 90.00 degrees
Space group P4/mbm (No. 127)
Unique sites:
Rb 0.000 0.000 0.000 x2
Ac 0.181 0.319 0.500 x4
Rh 0.000 0.500 0.000 x2
O 0.000 0.000 0.500 x2
O 0.128 0.628 0.246 x8

**Uncorrected formation energy**: -2.245 eV/atom

Computed, not measured: an optimized crystal structure of SrAl3Tc at the PBE level of DFT.

Cell lengths 6.0721, 6.0721, 18.4829 Å; angles 90.00, 90.00, 120.00 degrees
Space group R-3m (No. 166, hexagonal axes)
Unique sites:
Sr 0.0000 0.0000 0.0840 x6
Al 0.0180 0.5090 0.1029 x18
Tc 0.0000 0.0000 0.3277 x6

**Energy of formation**: -0.124 eV per atom

Computed, not measured: an optimized crystal structure of Pr3NiPt8 at the PBE level of DFT.

Cell lengths 5.4821, 5.4821, 26.8367 Å; angles 90.00, 90.00, 120.00 degrees
Space group R3m (No. 160, hexagonal axes)
Unique sites:
Pr 0.0000 0.0000 0.0000 x3
Pr 0.0000 0.0000 0.1307 x3
Pr 0.0000 0.0000 0.5223 x3
Ni 0.0000 0.0000 0.6556 x3
Pt 0.0000 0.0000 0.3193 x3
Pt 0.0000 0.0000 0.8204 x3
Pt 0.9999 0.4999 0.0697 x9
Pt 0.1681 0.3362 0.9036 x9

**Energy of formation**: -0.813 eV per atom

Computed, not measured: an optimized crystal structure of TbZr2P4 at the PBE level of DFT.

Cell lengths 3.804, 12.678, 11.726 Å; angles 90.00, 90.00, 90.00 degrees
Space group Cmcm (No. 63)
Unique sites:
Tb 0.000 0.098 0.250 x4
Zr 0.000 0.364 0.050 x8
P 0.000 0.000 0.000 x4
P 0.000 0.257 0.645 x8
P 0.000 0.440 0.250 x4

**Energy of formation**: -1.032 eV per atom

Computed, not measured: an optimized crystal structure of ReTeCl2 at the PBE level of DFT.

Cell lengths 3.051, 3.051, 10.162 Å; angles 90.00, 90.00, 90.00 degrees
Space group P4/mmm (No. 123)
Unique sites:
Re 0.000 0.000 0.000 x1
Te 0.000 0.000 0.500 x1
Cl 0.500 0.500 0.143 x2

**Uncorrected formation energy**: 0.585 eV/atom

Computed, not measured: an optimized crystal structure of CrBiB3 at the PBE level of DFT.

Cell lengths 4.596, 4.596, 4.596 Å; angles 90.00, 90.00, 90.00 degrees
Space group Pm-3m (No. 221)
Unique sites:
Cr 0.000 0.000 0.000 x1
Bi 0.500 0.500 0.500 x1
B 0.000 0.500 0.500 x3

**Energy of formation**: 3.138 eV per atom

Computed, not measured: an optimized crystal structure of NaInAs2Br at the PBE level of DFT.

Cell lengths 5.262, 5.262, 5.638 Å; angles 90.00, 90.00, 90.00 degrees
Space group P4/mmm (No. 123)
Unique sites:
Na 0.000 0.000 0.000 x1
In 0.500 0.500 0.500 x1
As 0.000 0.500 0.000 x2
Br 0.000 0.000 0.500 x1

**Uncorrected formation energy**: 0.502 eV/atom

Computed, not measured: an optimized crystal structure of NdHo2Sb3 at the PBE level of DFT.

Cell lengths 4.422, 6.257, 13.258 Å; angles 90.00, 90.00, 90.00 degrees
Space group Immm (No. 71)
Unique sites:
Nd 0.000 0.000 0.000 x2
Ho 0.000 0.000 0.335 x4
Sb 0.000 0.500 0.000 x2
Sb 0.000 0.500 0.328 x4

**Uncorrected formation energy**: -1.131 eV/atom